# As3WCl

As3WCl after structural relaxation (GGA-PBE, Alexandria via LeMat-Bulk).

a = 4.703 Å, b = 4.703 Å, c = 4.703 Å
α = 90.00°, β = 90.00°, γ = 90.00°
Element x y z (fractional)
As  0.000  0.500  0.000
As  0.000  0.000  0.500
As  0.500  0.000  0.000
W  0.500  0.500  0.500
Cl  0.000  0.000  0.000

## Properties
formation energy (no corrections) = 1.62 eV per atom
D(E_F) = 2.19 states/eV per cell
mass density = 7.1 g cm⁻³
uncorrected energy = -4.13 eV per atom
excess energy over the best structure of this formula in the dataset = 1309 meV/atom

***

# Ba3SrO3

Ba3SrO3 after structural relaxation (GGA-PBE, Alexandria via LeMat-Bulk).

a = 5.656 Å, b = 9.116 Å, c = 9.116 Å
α = 120.00°, β = 90.00°, γ = 90.00°
Element x y z (fractional)
Ba  0.750  0.841  0.682
Ba  0.750  0.318  0.159
Ba  0.750  0.841  0.159
Ba  0.250  0.159  0.318
Ba  0.250  0.682  0.841
Ba  0.250  0.159  0.841
Sr  0.250  0.667  0.333
Sr  0.750  0.333  0.667
O  0.250  0.823  0.647
O  0.250  0.353  0.177
O  0.250  0.823  0.177
O  0.750  0.177  0.353
O  0.750  0.647  0.823
O  0.750  0.177  0.823

## Properties
formation energy (no corrections) = -2.08 eV per atom
D(E_F) = 4.20 states/eV per cell
mass density = 4.5 g cm⁻³
uncorrected energy = -5.27 eV per atom

***

# Rb3Pd5F12

Rb3Pd5F12 after structural relaxation (GGA-PBE, Alexandria via LeMat-Bulk).

a = 12.482 Å, b = 12.482 Å, c = 12.482 Å
α = 109.47°, β = 109.47°, γ = 109.47°
Element x y z (fractional)
Rb  0.750  0.375  0.125
Rb  0.875  0.750  0.125
Rb  0.375  0.750  0.625
Rb  0.250  0.125  0.375
Rb  0.875  0.125  0.250
Rb  0.375  0.625  0.250
Rb  0.625  0.375  0.750
Rb  0.125  0.875  0.750
Rb  0.750  0.875  0.625
Rb  0.625  0.250  0.375
Rb  0.125  0.250  0.875
Rb  0.250  0.625  0.875
Pd  0.125  0.375  0.250
Pd  0.000  0.500  0.000
Pd  0.000  0.000  0.000
Pd  0.375  0.250  0.125
Pd  0.500  0.000  0.500
Pd  0.500  0.500  0.000
Pd  0.125  0.750  0.375
Pd  0.750  0.125  0.875
Pd  0.750  0.625  0.375
Pd  0.375  0.125  0.750
Pd  0.625  0.875  0.250
Pd  0.500  0.500  0.500
Pd  0.500  0.000  0.000
Pd  0.000  0.000  0.500
Pd  0.250  0.375  0.625
Pd  0.250  0.875  0.125
Pd  0.000  0.500  0.500
Pd  0.875  0.250  0.625
Pd  0.625  0.750  0.875
Pd  0.875  0.625  0.750
F  0.679  0.104  0.012
F  0.333  0.512  0.408
F  0.988  0.396  0.321
F  0.512  0.179  0.104
F  0.575  0.679  0.667
F  0.988  0.592  0.167
F  0.333  0.821  0.425
F  0.092  0.925  0.104
F  0.592  0.988  0.667
F  0.679  0.575  0.167
F  0.821  0.488  0.396
F  0.833  0.908  0.012
F  0.104  0.679  0.512
F  0.396  0.408  0.075
F  0.075  0.908  0.396
F  0.425  0.104  0.592
F  0.075  0.167  0.179
F  0.488  0.667  0.092
F  0.833  0.925  0.321
F  0.104  0.425  0.092
F  0.396  0.988  0.821
F  0.592  0.604  0.425
F  0.908  0.833  0.512
F  0.821  0.333  0.925
F  0.408  0.396  0.575
F  0.092  0.167  0.488
F  0.179  0.667  0.075
F  0.167  0.075  0.679
F  0.604  0.012  0.179
F  0.896  0.575  0.908
F  0.512  0.333  0.908
F  0.575  0.896  0.408
F  0.925  0.833  0.821
F  0.925  0.092  0.604
F  0.896  0.321  0.488
F  0.167  0.092  0.988
F  0.604  0.592  0.925
F  0.408  0.012  0.333
F  0.321  0.425  0.833
F  0.179  0.512  0.604
F  0.908  0.075  0.896
F  0.667  0.179  0.575
F  0.488  0.821  0.896
F  0.012  0.408  0.833
F  0.425  0.321  0.333
F  0.012  0.604  0.679
F  0.667  0.488  0.592
F  0.321  0.896  0.988

## Properties
formation energy (no corrections) = -1.49 eV per atom
D(E_F) = 60.42 states/eV per cell
mass density = 4.5 g cm⁻³
uncorrected energy = -4.06 eV per atom

***

# V2Mo5W2

V2Mo5W2 after structural relaxation (GGA-PBE, Alexandria via LeMat-Bulk).

a = 2.731 Å, b = 7.675 Å, c = 6.799 Å
α = 79.18°, β = 82.26°, γ = 90.20°
Element x y z (fractional)
V  0.328  0.664  0.000
V  0.672  0.336  0.000
Mo  0.555  0.776  0.331
Mo  0.445  0.224  0.669
Mo  0.109  0.554  0.674
Mo  0.891  0.446  0.326
Mo  0.000  0.000  0.000
W  0.776  0.887  0.669
W  0.224  0.113  0.331

## Properties
D(E_F) = 4.42 states/eV per cell
mass density = 11.4 g cm⁻³
uncorrected energy = -11.00 eV per atom
E_form = -82 meV per atom

***

# Ce2ZnB2Ir5

Ce2ZnB2Ir5 after structural relaxation (GGA-PBE, Alexandria via LeMat-Bulk).

a = 3.319 Å, b = 9.536 Å, c = 9.536 Å
α = 90.00°, β = 90.00°, γ = 90.00°
Element x y z (fractional)
Ce  0.000  0.678  0.178
Ce  0.000  0.322  0.822
Ce  0.000  0.178  0.322
Ce  0.000  0.822  0.678
Zn  0.000  0.000  0.000
Zn  0.000  0.500  0.500
B  0.000  0.121  0.621
B  0.000  0.879  0.379
B  0.000  0.621  0.879
B  0.000  0.379  0.121
Ir  0.500  0.220  0.070
Ir  0.500  0.780  0.930
Ir  0.500  0.070  0.780
Ir  0.500  0.720  0.430
Ir  0.500  0.930  0.220
Ir  0.500  0.280  0.570
Ir  0.500  0.570  0.720
Ir  0.500  0.430  0.280
Ir  0.500  0.500  0.000
Ir  0.500  0.000  0.500

## Properties
D(E_F) = 9.54 states/eV per cell
mass density = 14.6 g cm⁻³
uncorrected energy = -7.66 eV per atom
E_form = -580 meV per atom

***

# AlP2Se

AlP2Se after structural relaxation (GGA-PBE, Alexandria via LeMat-Bulk).

a = 6.014 Å, b = 6.014 Å, c = 3.760 Å
α = 98.66°, β = 98.66°, γ = 33.56°
Element x y z (fractional)
P  0.029  0.029  0.094
P  0.471  0.471  0.406
Al  0.250  0.250  0.250
Se  0.750  0.750  0.750

## Properties
formation energy (no corrections) = -0.16 eV per atom
D(E_F) = 1.33 states/eV per cell
mass density = 3.8 g cm⁻³
uncorrected energy = -4.67 eV per atom
excess energy over the best structure of this formula in the dataset = 0 meV/atom

***

# Sb2Te2Au3

Sb2Te2Au3 after structural relaxation (GGA-PBE, Alexandria via LeMat-Bulk).

a = 5.702 Å, b = 5.194 Å, c = 9.871 Å
α = 99.27°, β = 129.01°, γ = 101.21°
Element x y z (fractional)
Sb  0.826  0.195  0.720
Sb  0.174  0.805  0.280
Te  0.662  0.331  0.234
Te  0.338  0.669  0.766
Au  0.000  0.000  0.000
Au  0.769  0.760  0.495
Au  0.231  0.240  0.505

## Properties
formation energy (no corrections) = -0.04 eV per atom
D(E_F) = 1.84 states/eV per cell
mass density = 8.7 g cm⁻³
uncorrected energy = -3.52 eV per atom

***

# La6PmHo2

La6PmHo2 after structural relaxation (GGA-PBE, Alexandria via LeMat-Bulk).

a = 3.703 Å, b = 10.171 Å, c = 10.171 Å
α = 55.81°, β = 90.00°, γ = 90.00°
Element x y z (fractional)
La  0.000  0.506  0.162
La  0.000  0.838  0.494
La  0.000  0.494  0.838
La  0.500  0.675  0.325
La  0.000  0.162  0.506
La  0.500  0.325  0.675
Pm  0.000  0.000  0.000
Ho  0.500  0.176  0.176
Ho  0.500  0.824  0.824

## Properties
D(E_F) = 13.65 states/eV per cell
mass density = 6.9 g cm⁻³
uncorrected energy = -4.71 eV per atom
E_form = 115 meV per atom

***

# Pr4NdZn2

Pr4NdZn2 after structural relaxation (GGA-PBE, Alexandria via LeMat-Bulk).

a = 5.156 Å, b = 5.156 Å, c = 10.519 Å
α = 75.81°, β = 75.81°, γ = 60.00°
Element x y z (fractional)
Pr  0.702  0.702  0.893
Pr  0.898  0.898  0.305
Pr  0.298  0.298  0.107
Pr  0.102  0.102  0.695
Nd  0.500  0.500  0.500
Zn  0.600  0.600  0.201
Zn  0.400  0.400  0.799

## Properties
D(E_F) = 14.58 states/eV per cell
mass density = 6.0 g cm⁻³
uncorrected energy = -3.64 eV per atom
E_form = 135 meV per atom

***

# Ca3CrAg

Ca3CrAg after structural relaxation (GGA-PBE, Alexandria via LeMat-Bulk).

a = 5.685 Å, b = 5.685 Å, c = 5.685 Å
α = 90.00°, β = 90.00°, γ = 90.00°
Element x y z (fractional)
Cr  0.500  0.500  0.500
Ca  0.000  0.500  0.000
Ca  0.000  0.000  0.500
Ca  0.500  0.000  0.000
Ag  0.000  0.000  0.000

## Properties
D(E_F) = 3.33 states/eV per cell
mass density = 2.5 g cm⁻³
uncorrected energy = -3.28 eV per atom
excess energy over the best structure of this formula in the dataset = 0 meV/atom
E_form = 415 meV per atom

***

# LiW2Cl

LiW2Cl after structural relaxation (GGA-PBE, Alexandria via LeMat-Bulk).

a = 4.454 Å, b = 4.454 Å, c = 4.454 Å
α = 60.00°, β = 60.00°, γ = 60.00°
Element x y z (fractional)
Cl  0.500  0.500  0.500
Li  0.750  0.750  0.750
W  0.000  0.000  0.000
W  0.250  0.250  0.250

## Properties
formation energy (no corrections) = 0.90 eV per atom
D(E_F) = 0.90 states/eV per cell
mass density = 10.9 g cm⁻³
uncorrected energy = -6.52 eV per atom
excess energy over the best structure of this formula in the dataset = 850 meV/atom

***

# Ac4Sb2N

Ac4Sb2N after structural relaxation (GGA-PBE, Alexandria via LeMat-Bulk).

a = 4.961 Å, b = 4.961 Å, c = 10.893 Å
α = 76.84°, β = 76.84°, γ = 90.00°
Element x y z (fractional)
Sb  0.844  0.844  0.312
Sb  0.156  0.156  0.688
Ac  0.678  0.678  0.644
Ac  0.322  0.322  0.356
Ac  0.000  0.500  0.000
Ac  0.500  0.000  0.000
N  0.000  0.000  0.000

## Properties
formation energy (no corrections) = -0.64 eV per atom
D(E_F) = 5.36 states/eV per cell
mass density = 7.6 g cm⁻³
uncorrected energy = -5.35 eV per atom
excess energy over the best structure of this formula in the dataset = 316 meV/atom

***

# CsBa2PaS5

CsBa2PaS5 after structural relaxation (GGA-PBE, Alexandria via LeMat-Bulk).

a = 5.247 Å, b = 7.851 Å, c = 8.786 Å
α = 116.54°, β = 107.37°, γ = 90.00°
Element x y z (fractional)
Cs  0.000  0.500  0.000
Ba  0.214  0.214  0.428
Ba  0.786  0.786  0.572
Pa  0.500  0.000  0.000
S  0.633  0.907  0.265
S  0.367  0.093  0.735
S  0.367  0.642  0.735
S  0.633  0.358  0.265
S  0.000  0.000  0.000

## Properties
formation energy (no corrections) = -1.83 eV per atom
mass density = 4.3 g cm⁻³
uncorrected energy = -5.70 eV per atom

***

# SmCdGa

SmCdGa after structural relaxation (GGA-PBE, Alexandria via LeMat-Bulk).

a = 3.493 Å, b = 3.493 Å, c = 6.342 Å
α = 105.99°, β = 105.99°, γ = 90.00°
Element x y z (fractional)
Sm  0.942  0.942  0.884
Ga  0.274  0.274  0.548
Cd  0.634  0.634  0.268

## Properties
D(E_F) = 1.89 states/eV per cell
mass density = 7.7 g cm⁻³
uncorrected energy = -3.19 eV per atom
excess energy over the best structure of this formula in the dataset = 230 meV/atom
E_form = -299 meV per atom

***

# Al3Ni5

Al3Ni5 after structural relaxation (GGA-PBE, Alexandria via LeMat-Bulk).

a = 6.795 Å, b = 6.795 Å, c = 6.822 Å
α = 97.00°, β = 96.99°, γ = 139.28°
Element x y z (fractional)
Ni  0.257  0.758  0.518
Ni  0.742  0.242  0.482
Ni  0.743  0.044  0.851
Ni  0.256  0.956  0.149
Ni  0.726  0.576  0.301
Ni  0.274  0.424  0.699
Ni  0.544  0.244  0.852
Ni  0.455  0.756  0.148
Ni  0.075  0.225  0.301
Ni  0.924  0.775  0.699
Al  0.759  0.740  0.000
Al  0.240  0.260  0.000
Al  0.335  0.166  0.500
Al  0.664  0.834  0.500
Al  0.123  0.624  0.831
Al  0.876  0.376  0.169

## Properties
D(E_F) = 9.65 states/eV per cell
mass density = 6.5 g cm⁻³
uncorrected energy = -5.44 eV per atom
excess energy over the best structure of this formula in the dataset = 141 meV/atom
E_form = -424 meV per atom

***

# V2CuPd6

V2CuPd6 after structural relaxation (GGA-PBE, Alexandria via LeMat-Bulk).

a = 4.436 Å, b = 5.003 Å, c = 8.046 Å
α = 120.22°, β = 90.00°, γ = 116.32°
Element x y z (fractional)
V  0.653  0.307  0.818
V  0.347  0.693  0.182
Cu  0.000  0.000  0.500
Pd  0.027  0.054  0.849
Pd  0.674  0.349  0.164
Pd  0.326  0.651  0.836
Pd  0.664  0.328  0.511
Pd  0.336  0.672  0.489
Pd  0.973  0.946  0.151

## Properties
D(E_F) = 6.94 states/eV per cell
mass density = 10.1 g cm⁻³
uncorrected energy = -6.10 eV per atom
excess energy over the best structure of this formula in the dataset = 53 meV/atom
E_form = -158 meV per atom

***

# YGaBr

YGaBr after structural relaxation (GGA-PBE, Alexandria via LeMat-Bulk).

a = 4.117 Å, b = 4.117 Å, c = 34.539 Å
α = 90.00°, β = 90.00°, γ = 120.00°
Element x y z (fractional)
Y  0.000  0.000  0.142
Y  0.333  0.667  0.809
Y  0.667  0.333  0.475
Y  0.000  0.000  0.023
Y  0.333  0.667  0.689
Y  0.667  0.333  0.356
Br  0.000  0.000  0.529
Br  0.333  0.667  0.195
Br  0.667  0.333  0.862
Br  0.000  0.000  0.305
Br  0.333  0.667  0.972
Br  0.667  0.333  0.639
Ga  0.000  0.000  0.743
Ga  0.333  0.667  0.409
Ga  0.667  0.333  0.076
Ga  0.000  0.000  0.422
Ga  0.333  0.667  0.088
Ga  0.667  0.333  0.755

## Properties
formation energy (no corrections) = -1.18 eV per atom
D(E_F) = 3.73 states/eV per cell
mass density = 4.7 g cm⁻³
uncorrected energy = -4.90 eV per atom

***

# KZnIrO6

KZnIrO6 after structural relaxation (GGA-PBE, Alexandria via LeMat-Bulk).

a = 5.470 Å, b = 5.470 Å, c = 5.833 Å
α = 91.04°, β = 88.96°, γ = 57.34°
Element x y z (fractional)
K  0.020  0.020  0.000
Zn  0.663  0.663  0.500
Ir  0.341  0.341  0.500
O  0.009  0.392  0.326
O  0.392  0.010  0.674
O  0.621  0.344  0.670
O  0.049  0.561  0.711
O  0.344  0.621  0.330
O  0.561  0.049  0.289

## Properties
formation energy (no corrections) = -0.73 eV per atom
D(E_F) = 1.67 states/eV per cell
mass density = 4.4 g cm⁻³
uncorrected energy = -5.28 eV per atom

***

# MgTc2Os

MgTc2Os after structural relaxation (GGA-PBE, Alexandria via LeMat-Bulk).

a = 5.162 Å, b = 5.162 Å, c = 4.483 Å
α = 64.27°, β = 64.27°, γ = 34.15°
Element x y z (fractional)
Mg  0.500  0.500  0.500
Os  0.740  0.740  0.760
Tc  0.998  0.998  0.002
Tc  0.262  0.262  0.238

## Properties
D(E_F) = 3.29 states/eV per cell
mass density = 11.4 g cm⁻³
uncorrected energy = -8.20 eV per atom
E_form = 189 meV per atom

***

# ZrBeTcBi2

ZrBeTcBi2 after structural relaxation (GGA-PBE, Alexandria via LeMat-Bulk).

a = 4.911 Å, b = 4.650 Å, c = 4.911 Å
α = 90.00°, β = 90.00°, γ = 90.00°
Element x y z (fractional)
Be  0.000  0.000  0.000
Bi  0.000  0.000  0.500
Bi  0.500  0.000  0.000
Zr  0.000  0.500  0.000
Tc  0.500  0.500  0.500

## Properties
D(E_F) = 4.88 states/eV per cell
mass density = 9.1 g cm⁻³
uncorrected energy = -5.17 eV per atom
E_form = 908 meV per atom

***

# TaHg2Rh

TaHg2Rh after structural relaxation (GGA-PBE, Alexandria via LeMat-Bulk).

a = 5.257 Å, b = 5.257 Å, c = 2.953 Å
α = 90.00°, β = 90.00°, γ = 115.28°
Element x y z (fractional)
Ta  0.500  0.500  0.500
Hg  0.500  0.000  0.000
Hg  0.000  0.500  0.000
Rh  0.000  0.000  0.500

## Properties
D(E_F) = 2.80 states/eV per cell
mass density = 15.4 g cm⁻³
uncorrected energy = -4.58 eV per atom
excess energy over the best structure of this formula in the dataset = 360 meV/atom
E_form = 367 meV per atom